Record 1
This record from the Alexandria database describes crystalline TeAs2Cl at its relaxed geometry. The functional is PBE.

POSCAR file:
```
TeAs2Cl
1.0
4.859 0.000 0.000
0.000 4.859 0.000
0.000 0.000 3.721
Te As Cl
1 2 1
Direct
0.000 0.000 0.000
0.000 0.500 0.500
0.500 0.000 0.500
0.500 0.500 0.000
```

Properties
distance to the lowest polymorph of the same formula = 2.352 eV per formula unit
total DFT energy (no corrections) = -12.484 eV for the cell shown
formation energy (no corrections) = 451 meV/atom
space-group type = No. 123
Fermi-level density of states = 0.9152 states/eV/atom


Record 2
This record from the Alexandria database describes crystalline AlNi4Ge2 at its relaxed geometry. The functional is PBE.

POSCAR file:
```
AlNi4Ge2
1.0
3.847 -1.828 0.000
3.847 1.828 0.000
-3.354 0.000 6.471
Al Ni Ge
1 4 2
Direct
0.000 0.000 0.000
0.220 0.220 0.366
0.238 0.238 0.865
0.762 0.762 0.135
0.780 0.780 0.634
0.497 0.497 0.291
0.503 0.503 0.709
```

Properties
distance to the lowest polymorph of the same formula = 0.000 eV per formula unit
total DFT energy (no corrections) = -38.168 eV for the cell shown
formation enthalpy at 0 K = -295 meV per atom
space-group type = No. 12
Fermi-level density of states = 0.4875 states/eV/atom


Record 3
This record from the Alexandria database describes crystalline LiTlTc2O8 at its relaxed geometry. The functional is PBE.

POSCAR file:
```
LiTlTc2O8
1.0
4.649 -2.981 0.000
4.649 2.981 0.000
-0.502 0.000 7.940
Li Tl Tc O
1 1 2 8
Direct
0.000 0.000 0.000
0.000 0.000 0.500
0.365 0.365 0.216
0.635 0.635 0.784
0.220 0.220 0.070
0.229 0.710 0.191
0.290 0.771 0.809
0.306 0.306 0.420
0.694 0.694 0.580
0.710 0.229 0.191
0.771 0.290 0.809
0.780 0.780 0.930
```

Properties
total DFT energy (no corrections) = -82.624 eV for the cell shown
formation energy (no corrections) = -1496 meV/atom
space-group type = No. 12
Fermi-level density of states = 0.0000 states/eV/atom


Record 4
This record from the Alexandria database describes crystalline Re7Mo2Ru2 at its relaxed geometry. The functional is PBE.

POSCAR file:
```
Re7Mo2Ru2
1.0
3.328 -3.714 0.000
3.328 3.714 0.000
-2.586 0.000 13.574
Re Mo Ru
14 4 4
Direct
0.060 0.372 0.642
0.106 0.894 0.750
0.108 0.161 0.446
0.108 0.543 0.167
0.161 0.108 0.946
0.372 0.060 0.142
0.457 0.892 0.333
0.543 0.108 0.667
0.628 0.940 0.858
0.839 0.892 0.054
0.892 0.457 0.833
0.892 0.839 0.554
0.894 0.106 0.250
0.940 0.628 0.358
0.381 0.424 0.826
0.424 0.381 0.326
0.576 0.619 0.674
0.619 0.576 0.174
0.291 0.652 0.998
0.348 0.709 0.502
0.652 0.291 0.498
0.709 0.348 0.002
```

Properties
total DFT energy (no corrections) = -250.177 eV for the cell shown
formation enthalpy at 0 K = 206 meV per atom
space-group type = No. 15
Fermi-level density of states = 0.7066 states/eV/atom